Entry from Alexandria via LeMat-Bulk: crystalline TlNiHg2F6 at its relaxed geometry (GGA+U).

## Properties
final energy = -127.29 eV/cell
Fermi-level density of states = 0.158 states/eV per atom

a = 11.8688 Å, b = 10.3458 Å, c = 7.9543 Å
α = 90.00°, β = 127.68°, γ = 90.00°
With the nearest neighbours (Å) after each atom.
Space group C2/c (No. 15)
One atom of each set of equivalent atoms:
Tl  0.0000  0.1689  0.2500 x4  8 F 2.87-3.10
Ni  0.0000  0.1672  0.7500 x4  4 F 1.92-1.95
Hg  0.1406  0.4603  0.1124 x8  4 F 2.28-2.41
F  0.1220  0.0801  0.6980 x8  1 Ni 1.95
F  0.1251  0.2328  0.0356 x8  1 Ni 1.92
F  0.1641  0.4032  0.4110 x8  2 Hg 2.28-2.29